First-principles (GGA-PBEsol) data for a geometry-optimized CaScSi2 structure, as listed in the Alexandria database.

a b c (Å): 4.8054 4.8054 5.6563
angles (deg): 110.61 110.61 46.17
Fractional coordinates of all 4 atoms:
Ca  0.0000  0.0000  0.0000
Sc  0.5000  0.5000  0.5000
Si  0.2423  0.2423  0.6439
Si  0.7577  0.7577  0.3561

**Calculated volume**: 87.1 Å³/f.u.
**Uncorrected formation energy**: -432 meV per atom
**Calculated density**: 2.7 g/cm3
**Total magnetization**: 0.00 Bohr magnetons per cell